# Pt3WO | Alexandria via LeMat-Bulk | PBE with a Hubbard U | optimized geometry
# D(E_F) ... 4.68 states/eV/cell
# Crystal system ... cubic
# Excess energy over the best structure of this formula in the dataset ... 0.000 eV/atom
# Spin magnetization ... 2.97 μB per formula unit
data_Pt3WO
_cell_length_a 4.295
_cell_length_b 4.295
_cell_length_c 4.295
_cell_angle_alpha 90.00
_cell_angle_beta 90.00
_cell_angle_gamma 90.00
_symmetry_space_group_name_H-M 'P m -3 m'
_symmetry_Int_Tables_number 221
_symmetry_space_group_name_Hall '-P 4 2 3'
loop_
_atom_site_label
_atom_site_type_symbol
_atom_site_fract_x
_atom_site_fract_y
_atom_site_fract_z
Pt1 Pt 0.000 0.000 0.500
W1 W 0.500 0.500 0.500
O1 O 0.000 0.000 0.000